*i*
{"formula": "Tl2OsPt", "functional": "GGA-PBE", "state": "relaxed", "lattice": [[1.592, -2.650, 0.000], [1.592, 2.650, 0.000], [0.000, 0.000, 9.207]], "species": ["Tl", "Tl", "Os", "Pt"], "frac_coords": [[0.000, 0.000, 0.250], [0.000, 0.000, 0.750], [0.500, 0.500, 0.000], [0.500, 0.500, 0.500]], "m_tot_mub_per_cell": 0.0, "spacegroup": "Cmmm, No. 65"}

*ii*
{"formula": "Tl2OsPt", "functional": "GGA-PBE", "state": "relaxed", "lattice": [[1.494, 0.862, 11.030], [-1.494, 0.862, 11.030], [0.000, -1.725, 11.030]], "species": ["Tl", "Tl", "Os", "Pt"], "frac_coords": [[0.000, 0.000, 0.000], [0.219, 0.219, 0.219], [0.474, 0.474, 0.474], [0.745, 0.745, 0.745]], "m_tot_mub_per_cell": 0.0, "spacegroup": "R3m, No. 160"}

*iii*
{"formula": "Tl2OsPt", "functional": "GGA-PBE", "state": "relaxed", "lattice": [[3.158, -3.605, 0.000], [3.158, 3.605, 0.000], [0.000, 0.000, 3.301]], "species": ["Tl", "Tl", "Os", "Pt"], "frac_coords": [[0.000, 0.500, 0.000], [0.500, 0.000, 0.000], [0.000, 0.000, 0.500], [0.500, 0.500, 0.500]], "m_tot_mub_per_cell": 0.0, "spacegroup": "Cmmm, No. 65"}

*iv*
{"formula": "Tl2OsPt", "functional": "GGA-PBE", "state": "relaxed", "lattice": [[2.941, 0.000, 0.000], [0.000, 3.872, 0.000], [0.000, 0.000, 8.089]], "species": ["Tl", "Tl", "Os", "Pt"], "frac_coords": [[0.000, 0.000, 0.000], [0.500, 0.500, 0.345], [0.000, 0.000, 0.613], [0.500, 0.500, 0.727]], "m_tot_mub_per_cell": 0.0, "spacegroup": "Pmm2, No. 25"}

The winner here is *iv*, beating the second structure by 100 meV/atom.